Entry 1:
VASP calculation (PBE-GGA) on a relaxed structure of NaSi2Ge2.

a b c (Å): 4.701 4.701 5.590
angles (deg): 65.13 65.13 90.00
Atoms (fractional coordinates):
Na 0.000 0.000 0.000
Ge 0.750 0.250 0.500
Ge 0.250 0.750 0.500
Si 0.367 0.367 0.266
Si 0.633 0.633 0.734

Values from the calculation:
energy above the most stable polymorph in this dataset = 0.00 eV/f.u.

---

Entry 2:
VASP calculation (PBE-GGA) on a relaxed structure of NaSiGe.

a b c (Å): 2.763 4.787 4.787
angles (deg): 120.00 90.00 90.00
Atoms (fractional coordinates):
Na 0.667 0.333 0.667
Ge 0.167 0.667 0.333
Si 0.166 0.000 0.000

Values from the calculation:
energy above the most stable polymorph in this dataset = 0.35 eV/f.u.

---

Entry 3:
VASP calculation (PBE-GGA) on a relaxed structure of Na2SiGe.

a b c (Å): 4.433 6.567 7.382
angles (deg): 74.22 72.53 70.27
Atoms (fractional coordinates):
Na 0.197 0.248 0.357
Na 0.818 0.839 0.525
Na 0.438 0.431 0.693
Na 0.818 0.340 0.025
Si 0.122 0.685 0.070
Si 0.513 0.994 0.980
Ge 0.117 0.985 0.782
Ge 0.519 0.694 0.268

Values from the calculation:
energy above the most stable polymorph in this dataset = 0.00 eV/f.u.

---

Entry 4:
VASP calculation (PBE-GGA) on a relaxed structure of Na2SrSiGe2.

a b c (Å): 4.423 7.691 8.665
angles (deg): 90.00 90.00 90.00
Atoms (fractional coordinates):
Na 0.500 0.019 0.075
Na 0.000 0.343 0.156
Na 0.500 0.519 0.925
Na 0.000 0.843 0.844
Sr 0.000 0.004 0.436
Sr 0.000 0.504 0.564
Si 0.500 0.160 0.664
Si 0.500 0.660 0.336
Ge 0.000 0.220 0.822
Ge 0.500 0.300 0.383
Ge 0.000 0.720 0.178
Ge 0.500 0.800 0.617

---

Entry 5:
VASP calculation (PBE-GGA) on a relaxed structure of Na2SrSiGe.

a b c (Å): 5.974 5.539 5.974
angles (deg): 90.00 90.00 90.00
Atoms (fractional coordinates):
Sr 0.000 0.000 0.000
Ge 0.500 0.500 0.500
Si 0.000 0.500 0.000
Na 0.000 0.000 0.500
Na 0.500 0.000 0.000

---

Entry 6:
VASP calculation (PBE-GGA) on a relaxed structure of NaTa2SiGe.

a b c (Å): 4.750 4.881 4.750
angles (deg): 90.00 90.00 90.00
Atoms (fractional coordinates):
Na 0.500 0.500 0.500
Ge 0.000 0.500 0.000
Si 0.000 0.000 0.000
Ta 0.000 0.000 0.500
Ta 0.500 0.000 0.000

---

Entry 7:
VASP calculation (PBE-GGA) on a relaxed structure of NaSiTcGe2.

a b c (Å): 4.853 4.853 4.843
angles (deg): 90.00 90.00 90.00
Last column: magnetic moment on the atom in μB.
Atoms (fractional coordinates):
Na 0.000 0.000 0.000  0.01
Ge 0.000 0.500 0.000  -0.04
Ge 0.500 0.000 0.000  -0.04
Si 0.000 0.000 0.500  -0.02
Tc 0.500 0.500 0.500  3.23

---

Entry 8:
VASP calculation (PBE-GGA) on a relaxed structure of NaSi2GeTe6.

a b c (Å): 7.578 9.865 9.865
angles (deg): 83.78 75.12 75.12
Atoms (fractional coordinates):
Na 0.250 0.855 0.145
Na 0.750 0.145 0.855
Si 0.278 0.793 0.630
Si 0.222 0.370 0.207
Si 0.722 0.207 0.370
Si 0.778 0.630 0.793
Ge 0.250 0.226 0.774
Ge 0.750 0.774 0.226
Te 0.165 0.964 0.828
Te 0.335 0.172 0.036
Te 0.835 0.036 0.172
Te 0.665 0.828 0.964
Te 0.379 0.914 0.397
Te 0.121 0.603 0.086
Te 0.621 0.086 0.603
Te 0.879 0.397 0.914
Te 0.013 0.701 0.575
Te 0.487 0.425 0.299
Te 0.987 0.299 0.425
Te 0.513 0.575 0.701

---

Entry 9:
VASP calculation (PBE-GGA) on a relaxed structure of Na2ZrSiGe.

a b c (Å): 5.003 5.260 5.003
angles (deg): 90.00 90.00 90.00
Atoms (fractional coordinates):
Na 0.000 0.000 0.500
Na 0.500 0.000 0.000
Ge 0.000 0.000 0.000
Si 0.500 0.500 0.500
Zr 0.000 0.500 0.000

---

Entry 10:
VASP calculation (PBE-GGA) on a relaxed structure of NaZr2SiGe.

a b c (Å): 5.011 4.867 5.011
angles (deg): 90.00 90.00 90.00
Atoms (fractional coordinates):
Na 0.000 0.500 0.000
Ge 0.500 0.500 0.500
Si 0.000 0.000 0.000
Zr 0.000 0.000 0.500
Zr 0.500 0.000 0.000

---

Entry 11:
VASP calculation (PBE-GGA) on a relaxed structure of NaSmGe2.

a b c (Å): 4.314 12.334 14.198
angles (deg): 90.00 90.00 90.00
Atoms (fractional coordinates):
Na 0.750 0.545 0.938
Na 0.250 0.045 0.562
Na 0.250 0.455 0.062
Na 0.750 0.955 0.438
Na 0.750 0.365 0.188
Na 0.250 0.865 0.312
Na 0.250 0.635 0.812
Na 0.750 0.135 0.688
Sm 0.750 0.421 0.699
Sm 0.250 0.921 0.801
Sm 0.250 0.579 0.301
Sm 0.750 0.079 0.199
Sm 0.750 0.226 0.934
Sm 0.250 0.726 0.566
Sm 0.250 0.774 0.066
Sm 0.750 0.274 0.434
Ge 0.750 0.979 0.952
Ge 0.250 0.479 0.548
Ge 0.250 0.021 0.048
Ge 0.750 0.521 0.452
Ge 0.750 0.779 0.911
Ge 0.250 0.279 0.589
Ge 0.250 0.221 0.089
Ge 0.750 0.721 0.411
Ge 0.750 0.740 0.725
Ge 0.250 0.240 0.775
Ge 0.250 0.260 0.275
Ge 0.750 0.760 0.225
Ge 0.750 0.911 0.639
Ge 0.250 0.411 0.861
Ge 0.250 0.089 0.361
Ge 0.750 0.589 0.139

Values from the calculation:
energy above the most stable polymorph in this dataset = 0.00 eV/f.u.
energy of formation from the pure elements = -9.54 kcal/mol of atoms

---

Entry 12:
VASP calculation (PBE-GGA) on a relaxed structure of NaSmGe2.

a b c (Å): 4.289 4.543 4.543
angles (deg): 90.00 90.00 90.00
Atoms (fractional coordinates):
Na 0.500 0.500 0.500
Ge 0.000 0.000 0.500
Ge 0.000 0.500 0.000
Sm 0.500 0.000 0.000

Values from the calculation:
energy above the most stable polymorph in this dataset = 0.11 eV/f.u.
energy of formation from the pure elements = -8.91 kcal/mol of atoms

---

Entry 13:
VASP calculation (PBE-GGA) on a relaxed structure of Na2SmGeTe4.

a b c (Å): 4.224 7.775 7.998
angles (deg): 107.29 90.00 90.00
Atoms (fractional coordinates):
Na 0.500 0.000 0.500
Na 0.000 0.500 0.500
Sm 0.500 0.500 0.000
Ge 0.000 0.000 0.000
Te 0.500 0.227 0.222
Te 0.500 0.773 0.778
Te 0.000 0.245 0.767
Te 0.000 0.755 0.233

---

Entry 14:
VASP calculation (PBE-GGA) on a relaxed structure of NaSnGe.

a b c (Å): 4.462 4.465 9.713
angles (deg): 76.72 76.72 60.02
Atoms (fractional coordinates):
Na 0.446 0.067 0.743
Na 0.595 0.216 0.295
Sn 0.320 0.941 0.119
Sn 0.033 0.654 0.981
Ge 0.847 0.468 0.540
Ge 0.212 0.834 0.443

Values from the calculation:
energy of formation from the pure elements = -1.12 kcal/mol of atoms

---

Entry 15:
VASP calculation (PBE-GGA) on a relaxed structure of Na2SnGe.

a b c (Å): 8.801 8.801 6.832
angles (deg): 49.90 49.90 90.00
Atoms (fractional coordinates):
Na 0.591 0.125 0.250
Na 0.159 0.625 0.250
Na 0.375 0.409 0.750
Na 0.875 0.841 0.750
Ge 0.500 0.500 0.000
Ge 0.250 0.750 0.500
Sn 0.000 0.000 0.000
Sn 0.750 0.250 0.500

Values from the calculation:
energy above the most stable polymorph in this dataset = 0.81 eV/f.u.
energy of formation from the pure elements = 3.22 kcal/mol of atoms

---

Entry 16:
VASP calculation (PBE-GGA) on a relaxed structure of NaSnGe.

a b c (Å): 4.842 4.842 4.842
angles (deg): 60.00 60.00 60.00
Atoms (fractional coordinates):
Na 0.500 0.500 0.500
Ge 0.250 0.250 0.250
Sn 0.000 0.000 0.000

Values from the calculation:
energy of formation from the pure elements = -0.08 kcal/mol of atoms

---

Entry 17:
VASP calculation (PBE-GGA) on a relaxed structure of NaSnGe2.

a b c (Å): 5.040 5.040 5.040
angles (deg): 60.00 60.00 60.00
Atoms (fractional coordinates):
Na 0.000 0.000 0.000
Ge 0.250 0.250 0.250
Ge 0.750 0.750 0.750
Sn 0.500 0.500 0.500

Values from the calculation:
energy above the most stable polymorph in this dataset = 0.29 eV/f.u.
energy of formation from the pure elements = 3.13 kcal/mol of atoms

---

Entry 18:
VASP calculation (PBE-GGA) on a relaxed structure of NaSn2Ge.

a b c (Å): 4.564 4.628 4.628
angles (deg): 90.00 90.00 90.00
Atoms (fractional coordinates):
Na 0.500 0.500 0.500
Ge 0.500 0.000 0.000
Sn 0.000 0.000 0.500
Sn 0.000 0.500 0.000

Values from the calculation:
energy above the most stable polymorph in this dataset = 0.06 eV/f.u.
energy of formation from the pure elements = -0.41 kcal/mol of atoms

---

Entry 19:
VASP calculation (PBE-GGA) on a relaxed structure of NaSnGe2.

a b c (Å): 4.388 4.490 4.490
angles (deg): 90.00 90.00 90.00
Atoms (fractional coordinates):
Na 0.500 0.500 0.500
Ge 0.000 0.000 0.500
Ge 0.000 0.500 0.000
Sn 0.500 0.000 0.000

Values from the calculation:
energy above the most stable polymorph in this dataset = 0.00 eV/f.u.
energy of formation from the pure elements = 1.43 kcal/mol of atoms

---

Entry 20:
VASP calculation (PBE-GGA) on a relaxed structure of Na2SnGe.

a b c (Å): 4.911 4.382 4.382
angles (deg): 90.00 90.00 90.00
Atoms (fractional coordinates):
Na 0.000 0.000 0.500
Na 0.000 0.500 0.000
Ge 0.500 0.500 0.500
Sn 0.500 0.000 0.000

Values from the calculation:
energy above the most stable polymorph in this dataset = 0.01 eV/f.u.
energy of formation from the pure elements = -1.42 kcal/mol of atoms

---

Entry 21:
VASP calculation (PBE-GGA) on a relaxed structure of Na2Sn6Ge.

a b c (Å): 8.000 6.444 10.576
angles (deg): 90.00 73.33 90.00
Atoms (fractional coordinates):
Na 0.905 0.500 0.708
Na 0.595 0.000 0.792
Na 0.405 0.000 0.208
Na 0.095 0.500 0.292
Sn 0.938 0.000 0.235
Sn 0.700 0.744 0.483
Sn 0.800 0.757 0.017
Sn 0.700 0.257 0.483
Sn 0.800 0.244 0.017
Sn 0.562 0.500 0.265
Sn 0.062 0.000 0.765
Sn 0.300 0.256 0.517
Sn 0.200 0.243 0.983
Sn 0.300 0.743 0.517
Sn 0.200 0.756 0.983
Sn 0.438 0.500 0.735
Ge 0.500 0.500 0.000
Ge 0.000 0.000 0.500

Values from the calculation:
energy of formation from the pure elements = 0.05 kcal/mol of atoms

---

Entry 22:
VASP calculation (PBE-GGA) on a relaxed structure of Na3SnGe.

a b c (Å): 4.353 11.316 11.316
angles (deg): 90.00 90.00 90.00
Atoms (fractional coordinates):
Na 0.500 0.668 0.998
Na 0.000 0.168 0.502
Na 0.000 0.832 0.498
Na 0.000 0.873 0.873
Na 0.000 0.502 0.168
Na 0.500 0.627 0.373
Na 0.000 0.127 0.127
Na 0.500 0.332 0.002
Na 0.500 0.998 0.668
Na 0.000 0.498 0.832
Na 0.500 0.002 0.332
Na 0.500 0.373 0.627
Sn 0.500 0.311 0.311
Sn 0.000 0.811 0.189
Sn 0.500 0.689 0.689
Sn 0.000 0.189 0.811
Ge 0.500 0.920 0.080
Ge 0.000 0.580 0.580
Ge 0.500 0.080 0.920
Ge 0.000 0.420 0.420

Values from the calculation:
energy above the most stable polymorph in this dataset = 0.00 eV/f.u.
energy of formation from the pure elements = -2.45 kcal/mol of atoms

---

Entry 23:
VASP calculation (PBE-GGA) on a relaxed structure of Na2SnGe.

a b c (Å): 4.796 4.796 5.896
angles (deg): 94.96 114.11 113.06
Atoms (fractional coordinates):
Na 0.161 0.814 0.975
Na 0.589 0.074 0.663
Sn 0.715 0.611 0.326
Ge 0.036 0.251 0.286

Values from the calculation:
energy above the most stable polymorph in this dataset = 0.02 eV/f.u.
energy of formation from the pure elements = -1.33 kcal/mol of atoms

---

Entry 24:
VASP calculation (PBE-GGA) on a relaxed structure of NaSn2Ge.

a b c (Å): 8.422 8.422 6.690
angles (deg): 50.99 50.99 90.00
Atoms (fractional coordinates):
Na 0.500 0.500 0.000
Na 0.250 0.750 0.500
Ge 0.000 0.000 0.000
Ge 0.750 0.250 0.500
Sn 0.681 0.125 0.250
Sn 0.069 0.625 0.250
Sn 0.375 0.319 0.750
Sn 0.875 0.931 0.750

Values from the calculation:
energy above the most stable polymorph in this dataset = 0.00 eV/f.u.
energy of formation from the pure elements = -0.76 kcal/mol of atoms

---

| no. | VASP energy (eV per atom) | mass density (g cm⁻³) |
| --- | --- | --- |
| 1 | -4.21 | 3.75 |
| 2 | -3.64 | 3.75 |
| 3 | -3.11 | 2.57 |
| 4 | -3.36 | 3.46 |
| 5 | -1.79 | 1.97 |
| 6 | -5.99 | 7.32 |
| 7 | -3.57 | 4.29 |
| 8 | -3.65 | 4.43 |
| 9 | -3.66 | 3.00 |
| 10 | -5.36 | 4.16 |
| 11 | -4.23 | 5.60 |
| 12 | -4.20 | 5.98 |
| 13 | -3.86 | 5.16 |
| 14 | -3.36 | 4.40 |
| 15 | -2.68 | 3.61 |
| 16 | -3.32 | 4.43 |
| 17 | -3.50 | 5.26 |
| 18 | -3.50 | 5.66 |
| 19 | -3.58 | 5.39 |
| 20 | -2.88 | 4.18 |
| 21 | -3.47 | 5.28 |
| 22 | -2.62 | 3.10 |
| 23 | -2.87 | 3.62 |
| 24 | -3.52 | 5.12 |